The following is a GGA-PBE calculation of a relaxed CaPr8Nd5 crystal, from Alexandria.

a b c (Å): 8.7850 8.7850 8.7849
angles (deg): 110.89 106.67 110.89
Fractional positions:
Nd 0.8651 0.8995 0.1804
Nd 0.8196 0.6847 0.7191
Pr 0.7245 0.2522 0.3269
Nd 0.0344 0.3153 0.1349
Pr 0.1681 0.7373 0.0787
Pr 0.3414 0.2627 0.4308
Pr 0.6731 0.3976 0.9253
Pr 0.5277 0.6024 0.2755
Nd 0.2809 0.1005 0.9656
Pr 0.9213 0.0894 0.6586
Pr 0.0747 0.7478 0.4723
Pr 0.5692 0.9106 0.8319
Nd 0.5000 0.0000 0.5000
Ca 0.2500 0.5000 0.7500

- Crystal system: tetragonal
- D(E_F): 21.01 states/eV/cell
- Magnetization: 0.00 μB per cell
- ΔH_f (0 K): 0.22 eV/atom